Material: MnFePt
Method: DFT, GGA-PBE
State: relaxed

The calculation puts the formation enthalpy at 0 K at -0.078 eV/atom. The total moment comes out at 6.77 μB/f.u. The calculation puts the density of states at the Fermi level at 2.266 states/eV/f.u.

The space group is Imm2 (No. 44) and the conventional cell measures 2.8470, 3.3220 and 8.8612 Å, with angles of 90.00, 90.00 and 90.00 degrees. The asymmetric unit holds Mn at (0.0000, 0.0000, 0.0000), Fe at (0.0000, 0.0000, 0.3396) and Pt at (0.0000, 0.0000, 0.6733).

=====

Material: KSn8Pd2
Method: DFT, GGA-PBE
State: relaxed

The calculation puts the formation enthalpy at 0 K at -0.160 eV/atom. The total moment comes out at 0.00 μB/f.u. The calculation puts the density of states at the Fermi level at 4.447 states/eV/f.u. As for the energy above the most stable polymorph in this dataset: 0.00 eV per formula unit.

The space group is C2/m (No. 12) and the conventional cell measures 9.1686, 11.7060 and 5.6721 Å, with angles of 90.00, 98.15 and 90.00 degrees. The asymmetric unit holds K at (0.0000, 0.0000, 0.0000), Sn at (0.0000, 0.2925, 0.0000), Sn at (0.1326, 0.5000, 0.7454), Sn at (0.2214, 0.1399, 0.6457) and Pd at (0.0000, 0.3055, 0.5000).

=====

Material: HoHfPa2N6
Method: DFT, GGA-PBE
State: relaxed

The total moment comes out at 0.00 μB/f.u. The calculation puts the density of states at the Fermi level at 8.626 states/eV/f.u. The formation energy from raw total energies is -1474 meV per atom.

The space group is R3 (No. 146, hexagonal axes) and the conventional cell measures 5.8276, 5.8276 and 14.8775 Å, with angles of 90.00, 90.00 and 120.00 degrees. The asymmetric unit holds Ho at (0.0000, 0.0000, 0.0000), Hf at (0.0000, 0.0000, 0.4912), Pa at (0.0000, 0.0000, 0.2741), Pa at (0.0000, 0.0000, 0.7775), N at (0.0136, 0.7274, 0.3843) and N at (0.0406, 0.3600, 0.5472).